No. 1
Entry from Alexandria: an optimized crystal structure of Rb2SrFeO4 (PBE with a Hubbard U).

a = 6.143 Å, b = 12.885 Å, c = 24.444 Å
α = 90.00°, β = 90.00°, γ = 90.00°
Space group Fddd (No. 70, origin choice 2)
Symmetry-distinct sites (fractional):
1 Rb 0.125 0.125 0.326 x16
2 Sr 0.125 0.125 0.125 x8
3 Fe 0.125 0.125 0.625 x8
4 O 0.068 0.281 0.846 x32

Values from the calculation:
total DFT energy (no corrections): -323.16 eV per cell


No. 2
Entry from Alexandria: an optimized crystal structure of RbSrFeO3 (PBE with a Hubbard U).

a = 13.567 Å, b = 3.883 Å, c = 8.046 Å
α = 90.00°, β = 105.88°, γ = 90.00°
Space group C2/m (No. 12)
Symmetry-distinct sites (fractional):
1 Rb 0.147 0.000 0.067 x4
2 Sr 0.155 0.000 0.580 x4
3 Fe 0.007 0.500 0.285 x4
4 O 0.007 0.000 0.299 x4
5 O 0.135 0.500 0.780 x4
6 O 0.151 0.500 0.360 x4

Values from the calculation:
DOS at the Fermi energy: 9.76 states/eV/cell
total DFT energy (no corrections): -135.21 eV per cell


No. 3
Entry from Alexandria: an optimized crystal structure of RbSrFeO2 (PBE with a Hubbard U).

a = 6.135 Å, b = 5.656 Å, c = 7.270 Å
α = 90.00°, β = 90.08°, γ = 90.00°
Space group P2/c (No. 13)
Symmetry-distinct sites (fractional):
1 Rb 0.000 0.001 0.250 x2
2 Sr 0.500 0.500 0.250 x2
3 Fe 0.500 0.000 0.000 x2
4 O 0.326 0.265 0.000 x4

Values from the calculation:
DOS at the Fermi energy: 0.39 states/eV/cell
total DFT energy (no corrections): -51.69 eV per cell


No. 4
Entry from Alexandria: an optimized crystal structure of RbTaFe2O8 (PBE with a Hubbard U).

a = 5.5053 Å, b = 5.5053 Å, c = 7.9986 Å
α = 90.00°, β = 90.00°, γ = 120.00°
Space group P-3 (No. 147)
Symmetry-distinct sites (fractional):
1 Rb 0.0000 0.0000 0.0000 x1
2 Ta 0.0000 0.0000 0.5000 x1
3 Fe 0.3333 0.6667 0.7177 x2
4 O 0.0821 0.3227 0.6463 x6
5 O 0.3333 0.6667 0.9268 x2

Values from the calculation:
DOS at the Fermi energy: 6.62 states/eV/cell
total DFT energy (no corrections): -79.65 eV per cell


No. 5
Entry from Alexandria: an optimized crystal structure of Rb2Tb2FeO6 (PBE with a Hubbard U).

a = 5.802 Å, b = 10.067 Å, c = 6.876 Å
α = 90.00°, β = 104.50°, γ = 90.00°
Space group C2/m (No. 12)
Symmetry-distinct sites (fractional):
1 Rb 0.000 0.163 0.000 x4
2 Tb 0.000 0.332 0.500 x4
3 Fe 0.000 0.000 0.500 x2
4 O 0.204 0.156 0.666 x8
5 O 0.235 0.000 0.344 x4

Values from the calculation:
DOS at the Fermi energy: 5.27 states/eV/cell
total DFT energy (no corrections): -141.92 eV per cell


No. 6
Entry from Alexandria: an optimized crystal structure of RbTbFeO4 (PBE with a Hubbard U).

a = 5.912 Å, b = 6.051 Å, c = 7.598 Å
α = 90.00°, β = 108.93°, γ = 90.00°
Space group P2_1/m (No. 11)
Symmetry-distinct sites (fractional):
1 Rb 0.202 0.250 0.435 x2
2 Tb 0.318 0.250 0.963 x2
3 Fe 0.236 0.750 0.162 x2
4 O 0.018 0.750 0.941 x2
5 O 0.032 0.750 0.291 x2
6 O 0.459 0.523 0.174 x4

Values from the calculation:
DOS at the Fermi energy: 0.74 states/eV/cell
total DFT energy (no corrections): -90.35 eV per cell


No. 7
Entry from Alexandria: an optimized crystal structure of Rb3Tb2FeO6 (PBE with a Hubbard U).

a = 5.919 Å, b = 10.243 Å, c = 6.807 Å
α = 90.00°, β = 106.80°, γ = 90.00°
Space group C2/m (No. 12)
Symmetry-distinct sites (fractional):
1 Rb 0.000 0.000 0.000 x2
2 Rb 0.000 0.336 0.000 x4
3 Tb 0.000 0.167 0.500 x4
4 Fe 0.000 0.500 0.500 x2
5 O 0.213 0.344 0.672 x8
6 O 0.245 0.000 0.673 x4

Values from the calculation:
DOS at the Fermi energy: 0.00 states/eV/cell
total DFT energy (no corrections): -147.93 eV per cell


No. 8
Entry from Alexandria: an optimized crystal structure of RbTbFeO3 (PBE with a Hubbard U).

a = 7.627 Å, b = 3.632 Å, c = 9.706 Å
α = 90.00°, β = 112.63°, γ = 90.00°
Space group P2_1/m (No. 11)
Symmetry-distinct sites (fractional):
1 Rb 0.034 0.250 0.326 x2
2 Tb 0.465 0.750 0.639 x2
3 Fe 0.403 0.250 0.879 x2
4 O 0.271 0.250 0.658 x2
5 O 0.358 0.750 0.387 x2
6 O 0.472 0.250 0.104 x2

Values from the calculation:
DOS at the Fermi energy: 0.00 states/eV/cell
total DFT energy (no corrections): -78.51 eV per cell


No. 9
Entry from Alexandria: an optimized crystal structure of Rb2FeTcO6 (PBE with a Hubbard U).

a = 6.2519 Å, b = 6.2519 Å, c = 5.1750 Å
α = 90.00°, β = 90.00°, γ = 120.00°
Space group P-3m1 (No. 164)
Symmetry-distinct sites (fractional):
1 Rb 0.3333 0.6667 0.2653 x2
2 Fe 0.0000 0.0000 0.0000 x1
3 Tc 0.0000 0.0000 0.5000 x1
4 O 0.1387 0.2775 0.7293 x6

Values from the calculation:
DOS at the Fermi energy: 0.41 states/eV/cell
total DFT energy (no corrections): -61.21 eV per cell


No. 10
Entry from Alexandria: an optimized crystal structure of Rb2FeTeO6 (PBE with a Hubbard U).

a = 8.145 Å, b = 8.145 Å, c = 8.145 Å
α = 90.00°, β = 90.00°, γ = 90.00°
Space group Fm-3m (No. 225)
Symmetry-distinct sites (fractional):
1 Rb 0.250 0.250 0.250 x8
2 Fe 0.000 0.000 0.000 x4
3 Te 0.000 0.000 0.500 x4
4 O 0.000 0.000 0.258 x24

Values from the calculation:
DOS at the Fermi energy: 15.54 states/eV/cell
total DFT energy (no corrections): -207.91 eV per cell


No. 11
Entry from Alexandria: an optimized crystal structure of RbFeTeO6 (PBE with a Hubbard U).

a = 5.182 Å, b = 8.979 Å, c = 6.414 Å
α = 90.00°, β = 90.12°, γ = 90.00°
Space group C2 (No. 5)
Symmetry-distinct sites (fractional):
1 Rb 0.000 0.000 0.000 x2
2 Fe 0.000 0.667 0.500 x2
3 Te 0.000 0.333 0.500 x2
4 O 0.111 0.502 0.330 x4
5 O 0.191 0.805 0.330 x4
6 O 0.197 0.193 0.330 x4

Values from the calculation:
total DFT energy (no corrections): -98.41 eV per cell


No. 12
Entry from Alexandria: an optimized crystal structure of RbTi2FeO6 (PBE with a Hubbard U).

a = 9.298 Å, b = 12.078 Å, c = 6.322 Å
α = 90.00°, β = 111.25°, γ = 90.00°
Space group C2/c (No. 15)
Symmetry-distinct sites (fractional):
1 Rb 0.000 0.104 0.250 x4
2 Ti 0.140 0.422 0.150 x8
3 Fe 0.000 0.208 0.750 x4
4 O 0.066 0.291 0.019 x8
5 O 0.121 0.468 0.435 x8
6 O 0.153 0.106 0.740 x8

Values from the calculation:
DOS at the Fermi energy: 0.00 states/eV/cell
total DFT energy (no corrections): -306.95 eV per cell